[1]
DFT (GGA-PBE) results for a relaxed ZnRePd crystal.

Cell and atoms, written as POSCAR:
```
ZnRePd
1.0
1.4398 -3.8387 -0.7867
-2.4139 -3.3258 0.7345
-1.5524 -2.1981 -3.1915
Pd Re Zn
1 1 1
Direct
0.0000 0.0000 0.0000
0.2500 0.2500 0.2500
0.7500 0.7500 0.7500
```

Summary:
For the total energy, the calculation gives -5.577 eV/atom. The calculated formation energy is 0.711 eV/atom. Its space group is F-43m.

[2]
DFT (GGA-PBE) results for a relaxed Hg4GeAsC2 crystal.

Cell and atoms, written as POSCAR:
```
Hg4GeAsC2
1.0
-0.4243 2.8766 -1.9329
-2.7411 -1.4376 1.6156
2.5308 8.1034 11.5043
Hg C Ge As
4 2 1 1
Direct
0.0000 0.0000 0.6524
0.0000 0.0000 0.3476
0.6667 0.3333 0.1500
0.6667 0.3333 0.8500
0.3333 0.6667 0.2480
0.3333 0.6667 0.7520
0.6667 0.3333 0.5000
0.0000 0.0000 0.0000
```

Summary:
For the total energy, the calculation gives -2.267 eV/atom. Its space group is P-6m2.

Please write out number 2 again, unchanged.
DFT (GGA-PBE) results for a relaxed Hg4GeAsC2 crystal.

Cell and atoms, written as POSCAR:
```
Hg4GeAsC2
1.0
-0.4243 2.8766 -1.9329
-2.7411 -1.4376 1.6156
2.5308 8.1034 11.5043
Hg C Ge As
4 2 1 1
Direct
0.0000 0.0000 0.6524
0.0000 0.0000 0.3476
0.6667 0.3333 0.1500
0.6667 0.3333 0.8500
0.3333 0.6667 0.2480
0.3333 0.6667 0.7520
0.6667 0.3333 0.5000
0.0000 0.0000 0.0000
```

Summary:
For the total energy, the calculation gives -2.267 eV/atom. Its space group is P-6m2.

> Number 2 is which compound?

Hg4GeAsC2